# SnGeB2W

A PBEsol-optimized structure of SnGeB2W (meta-GGA SCAN, Alexandria via LeMat-Bulk).

Calculated values
energy of formation from the pure elements	1086	meV/atom
N(E_F)	2.136	states/eV/f.u.
energy	-1.972	Ry per atom

Structure (extended XYZ):
```
5
Lattice="4.276 0.000 0.000 0.000 4.276 0.000 0.000 0.000 4.869" Properties=species:S:1:pos:R:3 pbc="T T T"
Ge 0.000 0.000 2.434
B 0.000 2.138 0.000
B 2.138 0.000 0.000
Sn 2.138 2.138 2.434
W 0.000 0.000 0.000
```